Record 1
## Cd5C (GGA-PBE)

Data for an optimized crystal structure of Cd5C.

For the magnetization, the calculation gives 0.0 Bohr magnetons per cell. As for the theoretical density: 7.7 Mg/m³. The formation energy is 660 meV/atom. Its energy above the most stable polymorph in this dataset is 0.42 eV/f.u. The total DFT energy (no corrections) comes out at -19.673 eV/cell.

a b c (Å): 10.9410 3.1410 7.5548
angles (deg): 90.00 106.52 90.00
Space group Cm (No. 8)
Unique sites:
Cd  0.0000  0.0000  0.0000
Cd  0.0764  0.5000  0.3997
Cd  0.1939  0.5000  0.8264
Cd  0.2766  0.0000  0.2003
Cd  0.3745  0.0000  0.6377
C  0.4072  0.5000  0.4118

Record 2
## CdC2 (GGA-PBE)

Data for an optimized crystal structure of CdC2.

For the magnetization, the calculation gives 0.0 Bohr magnetons per cell. As for the theoretical density: 3.5 Mg/m³. The formation energy is 1527 meV/atom. Its energy above the most stable polymorph in this dataset is 3.39 eV/f.u. The total DFT energy (no corrections) comes out at -59.130 eV/cell.

a b c (Å): 3.5157 3.5157 21.1180
angles (deg): 90.00 90.00 90.00
Space group I4_1/amd (No. 141, origin choice 2)
Unique sites:
Cd  0.0000  0.2500  0.3750
C  0.0000  0.2500  0.8447

Record 3
## Cd3C (GGA-PBE)

Data for an optimized crystal structure of Cd3C.

For the magnetization, the calculation gives 0.0 Bohr magnetons per cell. As for the theoretical density: 7.0 Mg/m³. The formation energy is 966 meV/atom. Its energy above the most stable polymorph in this dataset is 2.16 eV/f.u. The total DFT energy (no corrections) comes out at -16.213 eV/cell.

a b c (Å): 8.0773 8.0773 2.9305
angles (deg): 90.00 90.00 120.00
Space group P6_3/mmc (No. 194)
Unique sites:
Cd  0.1951  0.3902  0.2500
C  0.3333  0.6667  0.7500

Record 4
## CdC2 (GGA-PBE)

Data for an optimized crystal structure of CdC2.

For the magnetization, the calculation gives 0.0 Bohr magnetons per cell. As for the theoretical density: 6.1 Mg/m³. The formation energy is 3092 meV/atom. Its energy above the most stable polymorph in this dataset is 8.09 eV/f.u. The total DFT energy (no corrections) comes out at -20.172 eV/cell.

a b c (Å): 4.3189 4.3189 4.5943
angles (deg): 90.00 90.00 120.00
Space group P6_3/mmc (No. 194)
Unique sites:
Cd  0.3333  0.6667  0.2500
C  0.0000  0.0000  0.0000
C  0.3333  0.6667  0.7500

Record 5
## Cd3C (GGA-PBE)

Data for an optimized crystal structure of Cd3C.

For the magnetization, the calculation gives 0.0 Bohr magnetons per cell. As for the theoretical density: 7.8 Mg/m³. The formation energy is 1259 meV/atom. Its energy above the most stable polymorph in this dataset is 3.34 eV/f.u. The total DFT energy (no corrections) comes out at -13.864 eV/cell.

a b c (Å): 5.6933 8.0051 3.2558
angles (deg): 90.00 90.00 90.00
Space group Cmmm (No. 65)
Unique sites:
Cd  0.0000  0.0000  0.0000
Cd  0.2500  0.2500  0.5000
C  0.0000  0.5000  0.0000

Record 6
## CdC (GGA-PBE)

Data for an optimized crystal structure of CdC.

For the magnetization, the calculation gives 0.0 Bohr magnetons per cell. As for the theoretical density: 4.3 Mg/m³. The formation energy is 563 meV/atom. Its energy above the most stable polymorph in this dataset is 0.29 eV/f.u. The total DFT energy (no corrections) comes out at -72.110 eV/cell.

a b c (Å): 5.1718 5.8884 12.6687
angles (deg): 90.00 90.00 90.00
Space group P2_12_12_1 (No. 19)
Unique sites:
Cd  0.0000  0.0828  0.2489
Cd  0.0000  0.1668  0.7516
C  0.1124  0.2490  0.9997
C  0.1374  0.7491  0.5002

Record 7
## CdC2 (GGA-PBE)

Data for an optimized crystal structure of CdC2.

For the magnetization, the calculation gives 0.0 Bohr magnetons per cell. As for the theoretical density: 5.2 Mg/m³. The formation energy is 1158 meV/atom. Its energy above the most stable polymorph in this dataset is 2.29 eV/f.u. The total DFT energy (no corrections) comes out at -47.664 eV/cell.

a b c (Å): 3.6299 3.6299 11.4174
angles (deg): 90.00 90.00 120.00
Space group R-3m (No. 166, hexagonal axes)
Unique sites:
Cd  0.0000  0.0000  0.0000
C  0.0000  0.0000  0.4446

Record 8
## CdC3 (GGA-PBE)

Data for an optimized crystal structure of CdC3.

For the magnetization, the calculation gives 0.0 Bohr magnetons per cell. As for the theoretical density: 4.4 Mg/m³. The formation energy is 2015 meV/atom. Its energy above the most stable polymorph in this dataset is 5.63 eV/f.u. The total DFT energy (no corrections) comes out at -41.054 eV/cell.

a b c (Å): 2.4690 6.1904 7.3884
angles (deg): 90.00 90.00 90.00
Space group Immm (No. 71)
Unique sites:
Cd  0.0000  0.0000  0.0000
C  0.0000  0.1528  0.5000
C  0.0000  0.5000  0.0000

Record 9
## CdC (GGA-PBE)

Data for an optimized crystal structure of CdC.

For the magnetization, the calculation gives 0.0 Bohr magnetons per cell. As for the theoretical density: 3.9 Mg/m³. The formation energy is 692 meV/atom. Its energy above the most stable polymorph in this dataset is 0.55 eV/f.u. The total DFT energy (no corrections) comes out at -52.534 eV/cell.

a b c (Å): 11.7850 11.7850 2.6454
angles (deg): 90.00 90.00 120.00
Space group P6_3/mcm (No. 193)
Unique sites:
Cd  0.0000  0.2443  0.2500
C  0.0000  0.4946  0.2500

Record 10
## Cd3C (GGA-PBE)

Data for an optimized crystal structure of Cd3C.

For the magnetization, the calculation gives 0.0 Bohr magnetons per cell. As for the theoretical density: 6.9 Mg/m³. The formation energy is 845 meV/atom. Its energy above the most stable polymorph in this dataset is 1.68 eV/f.u. The total DFT energy (no corrections) comes out at -17.182 eV/cell.

a b c (Å): 4.2928 10.3178 3.8183
angles (deg): 90.00 90.00 90.00
Space group Cmmm (No. 65)
Unique sites:
Cd  0.0000  0.0000  0.0000
Cd  0.0000  0.3471  0.5000
C  0.0000  0.5000  0.0000

Record 11
## CdC3 (GGA-PBE)

Data for an optimized crystal structure of CdC3.

For the magnetization, the calculation gives 0.0 Bohr magnetons per cell. As for the theoretical density: 4.3 Mg/m³. The formation energy is 1984 meV/atom. Its energy above the most stable polymorph in this dataset is 5.50 eV/f.u. The total DFT energy (no corrections) comes out at -82.607 eV/cell.

a b c (Å): 4.3773 9.4032 5.5718
angles (deg): 90.00 90.00 90.00
Space group Cmcm (No. 63)
Unique sites:
Cd  0.0000  0.1345  0.2500
C  0.0000  0.4808  0.7500
C  0.1608  0.3817  0.2500

Record 12
## CdC (GGA-PBE)

Data for an optimized crystal structure of CdC.

For the magnetization, the calculation gives 1.7 Bohr magnetons per cell. As for the theoretical density: 5.9 Mg/m³. The formation energy is 2226 meV/atom. Its energy above the most stable polymorph in this dataset is 3.62 eV/f.u. The total DFT energy (no corrections) comes out at -17.061 eV/cell.

a b c (Å): 6.4225 6.4225 2.9379
angles (deg): 90.00 90.00 120.00
Space group P6/mmm (No. 191)
Unique sites:
Cd  0.0000  0.5000  0.0000
C  0.0000  0.0000  0.0000
C  0.3333  0.6667  0.5000

Record 13
## Cd3C4 (GGA-PBE)

Data for an optimized crystal structure of Cd3C4.

For the magnetization, the calculation gives 0.0 Bohr magnetons per cell. As for the theoretical density: 6.4 Mg/m³. The formation energy is 1478 meV/atom. Its energy above the most stable polymorph in this dataset is 0.50 eV/f.u. The total DFT energy (no corrections) comes out at -29.293 eV/cell.

a b c (Å): 4.6349 4.6349 4.6349
angles (deg): 90.00 90.00 90.00
Space group P-43m (No. 215)
Unique sites:
Cd  0.0000  0.0000  0.5000
C  0.3808  0.3808  0.3808

Record 14
## CdC2 (GGA-PBE)

Data for an optimized crystal structure of CdC2.

For the magnetization, the calculation gives 0.0 Bohr magnetons per cell. As for the theoretical density: 5.7 Mg/m³. The formation energy is 1114 meV/atom. Its energy above the most stable polymorph in this dataset is 2.15 eV/f.u. The total DFT energy (no corrections) comes out at -64.087 eV/cell.

a b c (Å): 2.6111 3.5127 17.3570
angles (deg): 90.00 90.00 90.00
Space group Imma (No. 74)
Unique sites:
Cd  0.0000  0.2500  0.0783
C  0.0000  0.2500  0.6482
C  0.0000  0.2500  0.7284

Record 15
## CdC (GGA-PBE)

Data for an optimized crystal structure of CdC.

For the magnetization, the calculation gives 0.0 Bohr magnetons per cell. As for the theoretical density: 5.0 Mg/m³. The formation energy is 650 meV/atom. Its energy above the most stable polymorph in this dataset is 0.47 eV/f.u. The total DFT energy (no corrections) comes out at -70.712 eV/cell.

a b c (Å): 11.2442 11.2442 2.6355
angles (deg): 90.00 90.00 90.00
Space group P4/m (No. 83)
Unique sites:
Cd  0.0487  0.6258  0.0000
Cd  0.1387  0.1638  0.5000
C  0.2633  0.4175  0.5000
C  0.2626  0.4184  0.0000

Record 16
## CdC3 (GGA-PBE)

Data for an optimized crystal structure of CdC3.

For the magnetization, the calculation gives 0.0 Bohr magnetons per cell. As for the theoretical density: 4.7 Mg/m³. The formation energy is 1968 meV/atom. Its energy above the most stable polymorph in this dataset is 5.44 eV/f.u. The total DFT energy (no corrections) comes out at -41.432 eV/cell.

a b c (Å): 2.5114 6.0690 6.9134
angles (deg): 90.00 90.00 90.00
Space group Cmmm (No. 65)
Unique sites:
Cd  0.0000  0.0000  0.0000
C  0.0000  0.0000  0.5000
C  0.0000  0.5000  0.3757

Record 17
## CdC2 (GGA-PBE)

Data for an optimized crystal structure of CdC2.

For the magnetization, the calculation gives 0.0 Bohr magnetons per cell. As for the theoretical density: 6.4 Mg/m³. The formation energy is 3041 meV/atom. Its energy above the most stable polymorph in this dataset is 7.93 eV/f.u. The total DFT energy (no corrections) comes out at -81.922 eV/cell.

a b c (Å): 6.5548 6.5548 6.5548
angles (deg): 90.00 90.00 90.00
Space group Fd-3m (No. 227, origin choice 2)
Unique sites:
Cd  0.1250  0.1250  0.1250
C  0.0000  0.0000  0.5000

Record 18
## Cd3C (GGA-PBE)

Data for an optimized crystal structure of Cd3C.

For the magnetization, the calculation gives 0.0 Bohr magnetons per cell. As for the theoretical density: 7.9 Mg/m³. The formation energy is 1240 meV/atom. Its energy above the most stable polymorph in this dataset is 3.26 eV/f.u. The total DFT energy (no corrections) comes out at -28.044 eV/cell.

a b c (Å): 6.6588 6.6588 6.6588
angles (deg): 90.00 90.00 90.00
Space group Fm-3m (No. 225)
Unique sites:
Cd  0.0000  0.0000  0.0000
Cd  0.2500  0.2500  0.2500
C  0.0000  0.0000  0.5000

Record 19
## CdC (GGA-PBE)

Data for an optimized crystal structure of CdC.

For the magnetization, the calculation gives 0.0 Bohr magnetons per cell. As for the theoretical density: 6.2 Mg/m³. The formation energy is 2230 meV/atom. Its energy above the most stable polymorph in this dataset is 3.63 eV/f.u. The total DFT energy (no corrections) comes out at -17.037 eV/cell.

a b c (Å): 4.6375 4.6375 4.6375
angles (deg): 90.00 90.00 90.00
Space group Pm-3m (No. 221)
Unique sites:
Cd  0.0000  0.0000  0.5000
C  0.0000  0.5000  0.5000

Record 20
## CdC (GGA-PBE)

Data for an optimized crystal structure of CdC.

For the magnetization, the calculation gives 0.0 Bohr magnetons per cell. As for the theoretical density: 6.1 Mg/m³. The formation energy is 991 meV/atom. Its energy above the most stable polymorph in this dataset is 1.15 eV/f.u. The total DFT energy (no corrections) comes out at -130.502 eV/cell.

a b c (Å): 7.1546 8.4434 9.0259
angles (deg): 90.00 90.00 90.00
Space group Fddd (No. 70, origin choice 2)
Unique sites:
Cd  0.1250  0.1250  0.3259
C  0.1250  0.0490  0.6250